Density functional theory data (PBE-GGA) for an optimized crystal structure of Ca2AcSb.

Cell: 6.8723 6.8723 6.8723 Å, 45.20 45.20 45.20°
Sites, in units of the cell vectors:
1 Ca 0.0000 0.0000 0.0000
2 Ca 0.2323 0.2323 0.2323
3 Ac 0.4508 0.4508 0.4508
4 Sb 0.6494 0.6494 0.6494

## Properties
Its density of states at the Fermi level is 1.91 states/eV per cell. The space group is No. 160. As for the crystal system: trigonal. The value obtained for the magnetization is 0.00 μB/f.u. The calculation puts the total energy at -3.418 eV per atom. The value obtained for the uncorrected formation energy is -0.36 eV/atom.

=====

Density functional theory data (PBE-GGA) for an optimized crystal structure of CaAcSb2.

Cell: 7.7868 7.7868 7.7868 Å, 36.03 36.03 36.03°
Sites, in units of the cell vectors:
1 Ca 0.0000 0.0000 0.0000
2 Ac 0.1736 0.1736 0.1736
3 Sb 0.5948 0.5948 0.5948
4 Sb 0.7487 0.7487 0.7487

## Properties
Its density of states at the Fermi level is 2.30 states/eV per cell. The space group is No. 160. As for the crystal system: trigonal. The value obtained for the magnetization is 0.00 μB/f.u. The calculation puts the total energy at -4.507 eV per atom. The value obtained for the uncorrected formation energy is -0.92 eV/atom.

=====

Density functional theory data (PBE-GGA) for an optimized crystal structure of CaAcSb2.

Cell: 4.6444 4.7805 6.6026 Å, 90.00 90.00 90.00°
Sites, in units of the cell vectors:
1 Ca 0.0000 0.0000 0.0000
2 Ac 0.5000 0.5000 0.5000
3 Sb 0.0000 0.0000 0.5000
4 Sb 0.5000 0.5000 0.0000

## Properties
Its density of states at the Fermi level is 4.84 states/eV per cell. The space group is No. 47. As for the crystal system: orthorhombic. The value obtained for the magnetization is 0.00 μB/f.u. The calculation puts the total energy at -4.506 eV per atom. The value obtained for the uncorrected formation energy is -0.92 eV/atom.

=====

Density functional theory data (PBE-GGA) for an optimized crystal structure of CaAc2Sb.

Cell: 4.4419 4.4419 7.5987 Å, 90.00 90.00 90.00°
Sites, in units of the cell vectors:
1 Ca 0.0000 0.0000 0.0000
2 Ac 0.5000 0.5000 0.2704
3 Ac 0.5000 0.5000 0.7296
4 Sb 0.0000 0.0000 0.5000

## Properties
Its density of states at the Fermi level is 4.51 states/eV per cell. The space group is No. 123. As for the crystal system: tetragonal. The value obtained for the magnetization is 0.00 μB/f.u. The calculation puts the total energy at -4.056 eV per atom. The value obtained for the uncorrected formation energy is -0.47 eV/atom.

=====

Density functional theory data (PBE-GGA) for an optimized crystal structure of Ca2AcSb.

Cell: 5.7923 5.7923 5.7923 Å, 59.90 59.90 59.90°
Sites, in units of the cell vectors:
1 Ca 0.2504 0.2504 0.2504
2 Ca 0.7496 0.7496 0.7496
3 Ac 0.5000 0.5000 0.5000
4 Sb 0.0000 0.0000 0.0000

## Properties
Its density of states at the Fermi level is 4.83 states/eV per cell. The space group is No. 166. As for the crystal system: trigonal. The value obtained for the magnetization is 0.00 μB/f.u. The calculation puts the total energy at -3.214 eV per atom. The value obtained for the uncorrected formation energy is -0.16 eV/atom.

=====

Density functional theory data (PBE-GGA) for an optimized crystal structure of CaAcSb2.

Cell: 5.5211 5.5211 4.2317 Å, 90.00 90.00 90.00°
Sites, in units of the cell vectors:
1 Ca 0.0000 0.0000 0.0000
2 Ac 0.5000 0.5000 0.0000
3 Sb 0.0000 0.5000 0.5000
4 Sb 0.5000 0.0000 0.5000

## Properties
Its density of states at the Fermi level is 2.53 states/eV per cell. The space group is No. 123. As for the crystal system: tetragonal. The value obtained for the magnetization is 0.00 μB/f.u. The calculation puts the total energy at -4.455 eV per atom. The value obtained for the uncorrected formation energy is -0.87 eV/atom.

=====

Density functional theory data (PBE-GGA) for an optimized crystal structure of CaAc2Sb.

Cell: 5.9429 5.9429 5.9429 Å, 60.00 60.00 60.00°
Sites, in units of the cell vectors:
1 Ca 0.0000 0.0000 0.0000
2 Ac 0.2500 0.2500 0.2500
3 Ac 0.7500 0.7500 0.7500
4 Sb 0.5000 0.5000 0.5000

## Properties
Its density of states at the Fermi level is 6.54 states/eV per cell. The space group is No. 225. As for the crystal system: cubic. The value obtained for the magnetization is 0.00 μB/f.u. The calculation puts the total energy at -3.855 eV per atom. The value obtained for the uncorrected formation energy is -0.27 eV/atom.

=====

Density functional theory data (PBE-GGA) for an optimized crystal structure of CaAc3Sb4.

Cell: 8.2123 8.2123 4.7780 Å, 90.00 90.00 109.68°
Sites, in units of the cell vectors:
1 Ca 0.0000 0.0000 0.0000
2 Ac 0.0000 0.5000 0.5000
3 Ac 0.5000 0.0000 0.5000
4 Ac 0.5000 0.5000 0.0000
5 Sb 0.2440 0.2440 0.5000
6 Sb 0.2469 0.7531 0.0000
7 Sb 0.7531 0.2469 0.0000
8 Sb 0.7560 0.7560 0.5000

## Properties
Its density of states at the Fermi level is 6.33 states/eV per cell. The space group is No. 65. As for the crystal system: orthorhombic. The value obtained for the magnetization is 0.00 μB/f.u. The calculation puts the total energy at -4.926 eV per atom. The value obtained for the uncorrected formation energy is -1.07 eV/atom.

=====

Density functional theory data (PBE-GGA) for an optimized crystal structure of CaAc2Sb.

Cell: 12.2999 12.2999 12.2999 Å, 20.14 20.14 20.14°
Sites, in units of the cell vectors:
1 Ca 0.0000 0.0000 0.0000
2 Ac 0.1087 0.1087 0.1087
3 Ac 0.8913 0.8913 0.8913
4 Sb 0.5000 0.5000 0.5000

## Properties
Its density of states at the Fermi level is 6.01 states/eV per cell. The space group is No. 166. As for the crystal system: trigonal. The value obtained for the magnetization is 0.00 μB/f.u. The calculation puts the total energy at -3.826 eV per atom. The value obtained for the uncorrected formation energy is -0.24 eV/atom.

=====

Density functional theory data (PBE-GGA) for an optimized crystal structure of CaAcSb2.

Cell: 7.6015 7.6015 7.6015 Å, 37.17 37.17 37.17°
Sites, in units of the cell vectors:
1 Ca 0.0000 0.0000 0.0000
2 Ac 0.5000 0.5000 0.5000
3 Sb 0.2548 0.2548 0.2548
4 Sb 0.7452 0.7452 0.7452

## Properties
Its density of states at the Fermi level is 3.86 states/eV per cell. The space group is No. 166. As for the crystal system: trigonal. The value obtained for the magnetization is 0.00 μB/f.u. The calculation puts the total energy at -4.525 eV per atom. The value obtained for the uncorrected formation energy is -0.94 eV/atom.

=====

Density functional theory data (PBE-GGA) for an optimized crystal structure of Ca2AcSb.

Cell: 5.0268 5.0268 5.4514 Å, 90.00 90.00 90.00°
Sites, in units of the cell vectors:
1 Ca 0.0000 0.5000 0.0000
2 Ca 0.5000 0.0000 0.0000
3 Ac 0.0000 0.0000 0.5000
4 Sb 0.5000 0.5000 0.5000

## Properties
Its density of states at the Fermi level is 3.77 states/eV per cell. The space group is No. 123. As for the crystal system: tetragonal. The value obtained for the magnetization is 0.00 μB/f.u. The calculation puts the total energy at -3.505 eV per atom. The value obtained for the uncorrected formation energy is -0.45 eV/atom.

=====

Density functional theory data (PBE-GGA) for an optimized crystal structure of CaAcSb2.

Cell: 5.6694 5.6694 5.6694 Å, 60.00 60.00 60.00°
Sites, in units of the cell vectors:
1 Ca 0.0000 0.0000 0.0000
2 Ac 0.5000 0.5000 0.5000
3 Sb 0.2500 0.2500 0.2500
4 Sb 0.7500 0.7500 0.7500

## Properties
Its density of states at the Fermi level is 3.60 states/eV per cell. The space group is No. 225. As for the crystal system: cubic. The value obtained for the magnetization is 0.00 μB/f.u. The calculation puts the total energy at -4.455 eV per atom. The value obtained for the uncorrected formation energy is -0.87 eV/atom.